HfAsI2N: relaxed, PBE.

Density of states at the Fermi level in states/eV/atom: 0.887
Total energy in eV per atom: -4.31
E_form (uncorrected) in eV per atom: 0.897

a = 5.905 Å, b = 5.905 Å, c = 3.631 Å
α = 90.00°, β = 90.00°, γ = 90.00°
Space group P4/mmm (No. 123)
Symmetry-distinct sites (fractional):
Hf 0.000 0.000 0.000 x1
As 0.500 0.500 0.500 x1
I 0.000 0.500 0.500 x2
N 0.500 0.500 0.000 x1

---

NaLa3Ir: relaxed, PBE.

Density of states at the Fermi level in states/eV/atom: 1.101
Total energy in eV per atom: -4.79

a = 3.939 Å, b = 7.757 Å, c = 19.246 Å
α = 90.00°, β = 90.00°, γ = 90.00°
Space group Amm2 (No. 38)
Symmetry-distinct sites (fractional):
Na 0.000 0.000 0.000 x2
La 0.000 0.249 0.174 x4
La 0.500 0.000 0.821 x2
Ir 0.500 0.000 0.682 x2

---

CaZnCdF6: relaxed, PBE.

Density of states at the Fermi level in states/eV/atom: 0.000
Total energy in eV per atom: -4.49
E_form (uncorrected) in eV per atom: -2.778

a = 5.6471 Å, b = 5.6471 Å, c = 9.4457 Å
α = 90.00°, β = 90.00°, γ = 120.00°
Space group P-31c (No. 163)
Symmetry-distinct sites (fractional):
Ca 0.3333 0.6667 0.2500 x2
Zn 0.3333 0.6667 0.7500 x2
Cd 0.0000 0.0000 0.0000 x2
F 0.0274 0.3535 0.6318 x12

---

PmYGaSi: relaxed, PBE.

Density of states at the Fermi level in states/eV/atom: 0.821
Total energy in eV per atom: -5.66
E_form (uncorrected) in eV per atom: -0.745

a = 4.002 Å, b = 4.368 Å, c = 10.923 Å
α = 90.00°, β = 90.00°, γ = 90.00°
Space group Amm2 (No. 38)
Symmetry-distinct sites (fractional):
Pm 0.000 0.000 0.000 x2
Y 0.500 0.000 0.281 x2
Ga 0.500 0.000 0.570 x2
Si 0.000 0.000 0.718 x2

---

- Among the records above, which one has the lowest total energy?
  PmYGaSi

---

- density of states at the Fermi level of number 4 (PmYGaSi)?
  0.821 states/eV/atom